In2ReRhS | the Alexandria database | PBE-GGA | optimized geometry; formation energy without anion corrections = 0.8912 eV/atom
1.0
5.116 0.000 0.000
0.000 5.116 0.000
0.000 0.000 4.782
In Re Rh S
2 1 1 1
direct
0.000 0.500 0.000
0.500 0.000 0.000
0.000 0.000 0.500
0.000 0.000 0.000
0.500 0.500 0.500

---

OsSe | the Alexandria database | PBE-GGA | optimized geometry; formation energy without anion corrections = 1.1563 eV/atom
1.0
0.000 3.193 3.193
3.193 0.000 3.193
3.193 3.193 0.000
Os Se
2 2
direct
0.125 0.125 0.125
0.875 0.875 0.875
0.375 0.375 0.375
0.625 0.625 0.625

---

Dy15Ho4Tl | the Alexandria database | PBE-GGA | optimized geometry; formation energy = -0.02 eV/atom
1.0
4.954 0.000 0.000
0.000 4.954 0.000
0.000 0.000 25.095
Dy Ho Tl
15 4 1
direct
0.000 0.000 0.000
0.000 0.000 0.196
0.000 0.000 0.399
0.000 0.000 0.601
0.000 0.000 0.804
0.000 0.500 0.098
0.000 0.500 0.299
0.000 0.500 0.500
0.000 0.500 0.701
0.000 0.500 0.902
0.500 0.000 0.098
0.500 0.000 0.299
0.500 0.000 0.500
0.500 0.000 0.701
0.500 0.000 0.902
0.500 0.500 0.199
0.500 0.500 0.399
0.500 0.500 0.601
0.500 0.500 0.801
0.500 0.500 0.000

---

LiPr4Al2 | the Alexandria database | PBE-GGA | optimized geometry; formation energy = -0.13 eV/atom
1.0
2.654 1.532 8.483
-2.654 1.532 8.483
0.000 -3.064 8.483
Li Pr Al
1 4 2
direct
0.000 0.000 0.000
0.131 0.131 0.131
0.384 0.384 0.384
0.616 0.616 0.616
0.869 0.869 0.869
0.257 0.257 0.257
0.743 0.743 0.743

---

Looking at E_tot for the records above, in order, we have -24.9, -24.8, -90.1, -29.4 eV for the cell shown.
Looking at mass density for the records above, in order, we have 7.31, 13.73, 8.90, 5.01 g cm⁻³.